## SrIrC2 (GGA-PBE)

Data for a relaxed structure of SrIrC2.

Calculated volume ... 17.672 Å³/atom
Crystal system ... tetragonal
SG ... I-42d
VASP energy ... -6.74 eV/atom

```
data_SrIrC2
_chemical_formula_sum 'Sr2 Ir2 C4'
_cell_length_a 5.166
_cell_length_b 5.166
_cell_length_c 6.435
_cell_angle_alpha 66.33
_cell_angle_beta 66.33
_cell_angle_gamma 90.00
_symmetry_space_group_name_H-M 'P 1'
_symmetry_Int_Tables_number 1
loop_
_symmetry_equiv_pos_as_xyz
'x,y,z'
loop_
_atom_site_label
_atom_site_fract_x
_atom_site_fract_y
_atom_site_fract_z
Sr1 0.500 0.500 0.000
Sr2 0.250 0.750 0.500
C1 0.765 0.125 0.250
C2 0.985 0.625 0.250
C3 0.375 0.235 0.750
C4 0.875 0.015 0.750
Ir1 0.000 0.000 0.000
Ir2 0.750 0.250 0.500
```

=====

## Dy6ErTl2 (GGA-PBE)

Data for a relaxed structure of Dy6ErTl2.

Calculated volume ... 29.953 Å³/atom
Crystal system ... monoclinic
SG ... C2/m
VASP energy ... -4.25 eV/atom

```
data_Dy6ErTl2
_chemical_formula_sum 'Dy6 Er1 Tl2'
_cell_length_a 3.731
_cell_length_b 6.647
_cell_length_c 11.789
_cell_angle_alpha 74.72
_cell_angle_beta 80.89
_cell_angle_gamma 73.70
_symmetry_space_group_name_H-M 'P 1'
_symmetry_Int_Tables_number 1
loop_
_symmetry_equiv_pos_as_xyz
'x,y,z'
loop_
_atom_site_label
_atom_site_fract_x
_atom_site_fract_y
_atom_site_fract_z
Dy1 0.684 0.509 0.124
Dy2 0.316 0.491 0.876
Dy3 0.310 0.795 0.586
Dy4 0.985 0.685 0.345
Dy5 0.015 0.315 0.655
Dy6 0.690 0.205 0.414
Er1 0.000 0.000 0.000
Tl1 0.360 0.076 0.203
Tl2 0.640 0.924 0.797
```

=====

## Al4Cl5 (GGA-PBE)

Data for a relaxed structure of Al4Cl5.

Calculated volume ... 36.363 Å³/atom
Crystal system ... tetragonal
SG ... I4/mmm
Raw formation energy ... -409 meV/atom

```
data_Al4Cl5
_chemical_formula_sum 'Al4 Cl5'
_cell_length_a 9.633
_cell_length_b 9.633
_cell_length_c 9.633
_cell_angle_alpha 92.07
_cell_angle_beta 92.07
_cell_angle_gamma 158.10
_symmetry_space_group_name_H-M 'P 1'
_symmetry_Int_Tables_number 1
loop_
_symmetry_equiv_pos_as_xyz
'x,y,z'
loop_
_atom_site_label
_atom_site_fract_x
_atom_site_fract_y
_atom_site_fract_z
Al1 0.802 0.000 0.802
Al2 0.198 0.000 0.198
Al3 0.000 0.802 0.802
Al4 0.000 0.198 0.198
Cl1 0.000 0.000 0.000
Cl2 0.647 0.647 0.294
Cl3 0.353 0.353 0.706
Cl4 0.353 0.647 0.000
Cl5 0.647 0.353 0.000
```

=====

no.,theoretical density (Mg/m³),magnetization (μB/f.u.)
1,7.14,0.00
2,9.55,0.00
3,1.45,0.00